No. 1
Crystalline MnMo2Pt at its relaxed geometry, computed with PBE-GGA.

POSCAR file:
```
MnMo2Pt
1.0
-0.1148 -4.2497 1.4415
2.4539 0.2939 1.0620
-1.9975 1.4833 4.2138
Pt Mo Mn
1 2 1
Direct
0.0000 0.6250 0.4653
0.5000 0.1257 0.2847
0.0000 0.1242 0.9576
0.5000 0.6252 0.7925
```

Summary:
The total magnetization comes out at 1.94 μB/f.u. The space group is No. 25. The calculation puts the formation energy at -0.06 eV per atom. The value obtained for the raw total energy is -37.1 eV/cell. As for the polymorph energy (0 for the lowest one): 59 meV per atom.

No. 2
Crystalline NaFeBAs2 at its relaxed geometry, computed with PBE-GGA.

POSCAR file:
```
NaFeBAs2
1.0
-4.5073 -0.0458 -0.9022
0.3819 -3.5510 -1.7276
-0.7876 -2.0496 4.0387
B As Na Fe
1 2 1 1
Direct
0.0000 0.0000 0.0000
0.0000 0.0000 0.5000
0.5000 0.0000 0.0000
0.5000 0.5000 0.5000
0.0000 0.5000 0.0000
```

Summary:
The total magnetization comes out at 2.20 μB/f.u. The space group is No. 123. The calculation puts the formation energy at 0.50 eV per atom. The value obtained for the raw total energy is -23.3 eV/cell.